(1)
Ce2PuSn3 PBE-GGA relaxed; D(E_F) = 18.70 states/eV/f.u.; E = -6.890 eV per atom; energy above the lowest structure with this stoichiometry = 0.0000 eV/atom
1.0
3.437 0.000 0.000
0.000 3.437 0.000
0.000 0.000 13.701
Ce Pu Sn
2 1 3
direct
0.000 0.000 0.167
0.000 0.000 0.833
0.000 0.000 0.500
0.500 0.500 0.000
0.500 0.500 0.336
0.500 0.500 0.664

---

(2)
LiLa2SiPt6 PBE-GGA relaxed; D(E_F) = 3.24 states/eV/f.u.; E = -6.214 eV per atom
1.0
2.865 1.654 7.138
-2.865 1.654 7.138
0.000 -3.308 7.138
Li La Si Pt
1 2 1 6
direct
0.000 0.000 0.000
0.290 0.290 0.290
0.710 0.710 0.710
0.500 0.500 0.500
0.224 0.749 0.749
0.251 0.251 0.776
0.251 0.776 0.251
0.749 0.224 0.749
0.749 0.749 0.224
0.776 0.251 0.251

---

(3)
Cs2Ce2MnSe6 PBE-GGA relaxed; D(E_F) = 2.33 states/eV/f.u.; E = -5.307 eV per atom
1.0
3.607 -6.224 0.000
3.607 6.224 0.000
-2.416 0.000 8.533
Cs Ce Mn Se
2 2 1 6
direct
0.167 0.833 0.000
0.833 0.167 0.000
0.333 0.667 0.500
0.667 0.333 0.500
0.000 0.000 0.500
0.061 0.382 0.679
0.258 0.258 0.325
0.382 0.061 0.679
0.618 0.939 0.321
0.742 0.742 0.675
0.939 0.618 0.321

---

(4)
Ba3Cd7Sn4 PBE-GGA relaxed; D(E_F) = 4.22 states/eV/f.u.; E = -2.393 eV per atom
1.0
9.150 -2.529 0.000
9.150 2.529 0.000
-6.314 0.000 8.818
Ba Cd Sn
3 7 4
direct
0.000 0.000 0.000
0.300 0.300 0.300
0.700 0.700 0.700
0.000 0.000 0.500
0.145 0.145 0.427
0.342 0.342 0.983
0.497 0.497 0.680
0.503 0.503 0.320
0.658 0.658 0.017
0.855 0.855 0.573
0.142 0.142 0.859
0.344 0.344 0.712
0.656 0.656 0.288
0.858 0.858 0.141

---

(5)
Mo2PIrPd PBE-GGA relaxed; D(E_F) = 6.28 states/eV/f.u.; E = -6.097 eV per atom
1.0
4.659 0.000 0.000
0.000 4.659 0.000
0.000 0.000 4.837
Mo P Ir Pd
2 1 1 1
direct
0.000 0.500 0.000
0.500 0.000 0.000
0.000 0.000 0.500
0.500 0.500 0.500
0.500 0.500 0.000

---

(6)
Ba2SnSbP PBE-GGA relaxed; D(E_F) = 0.44 states/eV/f.u.; E = -4.277 eV per atom
1.0
7.730 0.000 0.000
0.000 4.656 0.000
-3.861 0.000 10.768
Ba Sn Sb P
4 2 2 2
direct
0.218 0.250 0.380
0.230 0.250 0.996
0.770 0.750 0.004
0.782 0.750 0.620
0.481 0.250 0.787
0.519 0.750 0.213
0.300 0.750 0.636
0.700 0.250 0.364
0.171 0.750 0.179
0.829 0.250 0.821

---

(7)
Cd2Pd6Rh PBE-GGA relaxed; D(E_F) = 10.32 states/eV/f.u.; E = -4.472 eV per atom
1.0
-2.216 2.761 6.336
2.216 -2.761 6.336
2.216 2.761 -6.336
Cd Pd Rh
2 6 1
direct
0.155 0.155 0.000
0.845 0.845 0.000
0.160 0.396 0.764
0.292 0.792 0.500
0.367 0.604 0.764
0.633 0.396 0.236
0.708 0.208 0.500
0.840 0.604 0.236
0.500 0.000 0.500

---

(8)
Zr2TeOs PBE-GGA relaxed; D(E_F) = 4.00 states/eV/f.u.; E = -7.697 eV per atom
1.0
1.657 0.957 9.140
-1.657 0.957 9.140
0.000 -1.913 9.140
Zr Te Os
2 1 1
direct
0.000 0.000 0.000
0.237 0.237 0.237
0.484 0.484 0.484
0.734 0.734 0.734

---

(9)
GdThMnIn PBE-GGA relaxed; D(E_F) = 3.58 states/eV/f.u.; E = -8.352 eV per atom
1.0
0.000 3.740 3.740
3.740 0.000 3.740
3.740 3.740 0.000
Gd Th Mn In
1 1 1 1
direct
0.000 0.000 0.000
0.500 0.500 0.500
0.750 0.750 0.750
0.250 0.250 0.250

---

(10)
SrAc2Pd PBE-GGA relaxed; D(E_F) = 5.33 states/eV/f.u.; E = -4.129 eV per atom; energy above the lowest structure with this stoichiometry = 0.0284 eV/atom
1.0
2.122 -6.722 0.000
2.122 6.722 0.000
0.000 0.000 10.693
Sr Ac Pd
2 4 2
direct
0.084 0.916 0.750
0.916 0.084 0.250
0.358 0.642 0.568
0.358 0.642 0.932
0.642 0.358 0.068
0.642 0.358 0.432
0.224 0.776 0.250
0.776 0.224 0.750

---

(11)
HfZrUPt PBE-GGA relaxed; D(E_F) = 6.61 states/eV/f.u.; E = -9.053 eV per atom
1.0
0.000 3.416 3.416
3.416 0.000 3.416
3.416 3.416 0.000
Hf Zr U Pt
1 1 1 1
direct
0.000 0.000 0.000
0.500 0.500 0.500
0.750 0.750 0.750
0.250 0.250 0.250

---

(12)
Ta2TlTe PBE-GGA relaxed; D(E_F) = 3.50 states/eV/f.u.; E = -6.659 eV per atom; energy above the lowest structure with this stoichiometry = 0.4746 eV/atom
1.0
3.073 -4.596 0.000
3.073 4.596 0.000
-1.072 0.000 2.974
Ta Tl Te
2 1 1
direct
0.000 0.500 0.000
0.500 0.000 0.000
0.000 0.000 0.500
0.500 0.500 0.500